This record from Alexandria describes an optimized crystal structure of Tl2CrOsO6. The functional is GGA+U.

Properties
The value obtained for the density of states at the Fermi level is 5.7 states/eV per cell. The value obtained for the uncorrected energy is -6.3561 eV/atom.

a = 5.8450 Å, b = 5.8450 Å, c = 10.0209 Å
α = 73.04°, β = 73.04°, γ = 60.00°
Fractional positions:
Tl  0.8724  0.8724  0.3829
Tl  0.1276  0.1276  0.6171
Tl  0.2827  0.2827  0.1518
Tl  0.7173  0.7173  0.8482
Os  0.5000  0.5000  0.5000
Os  0.0000  0.0000  0.0000
O  0.1936  0.7277  0.8850
O  0.3961  0.3961  0.3699
O  0.8378  0.3961  0.3699
O  0.3961  0.8378  0.3699
O  0.8064  0.2723  0.1150
O  0.8064  0.8064  0.1150
O  0.1622  0.6039  0.6301
O  0.6039  0.1622  0.6301
O  0.2723  0.8064  0.1150
O  0.1936  0.1936  0.8850
O  0.7277  0.1936  0.8850
O  0.6039  0.6039  0.6301
Cr  0.4070  0.4070  0.7790
Cr  0.5930  0.5930  0.2210